KHgMo | GGA-PBE | optimized geometry

Distance to the lowest polymorph of the same formula: 0 meV per atom
M_tot: 1.525 μB per atom

Structure (CIF):
```
data_KHgMo
_chemical_formula_sum 'K4 Hg4 Mo4'
_space_group_name_H-M_alt 'F -4 3 m'
_space_group_IT_number 216
_space_group_name_Hall 'F -4 2 3'
_cell_length_a 7.421
_cell_length_b 7.421
_cell_length_c 7.421
_cell_angle_alpha 90.00
_cell_angle_beta 90.00
_cell_angle_gamma 90.00
loop_
_atom_site_label
_atom_site_type_symbol
_atom_site_fract_x
_atom_site_fract_y
_atom_site_fract_z
K1 K 0.000 0.000 0.000
Hg1 Hg 0.250 0.250 0.250
Mo1 Mo 0.000 0.000 0.500
```